1.
An optimized crystal structure of NaSbC, computed with PBE.

Lattice parameters (Å, degrees): 4.6179 4.3310 8.6641 90.00 101.32 90.00
Space group Pm (No. 6)
Unique sites:
Na1 0.0000 0.0000 0.0000 (multiplicity 1)
Na2 0.1393 0.5000 0.6336 (multiplicity 1)
Sb1 0.2194 0.5000 0.2763 (multiplicity 1)
Sb2 0.6535 0.0000 0.3197 (multiplicity 1)
C1 0.7776 0.0000 0.5712 (multiplicity 1)
C2 0.8766 0.0000 0.7170 (multiplicity 1)

Values from the calculation:
E_tot   -27.65 eV for the cell shown
ΔE to the lowest computed polymorph   18 meV per atom

2.
An optimized crystal structure of Na3SbC, computed with PBE.

Lattice parameters (Å, degrees): 4.9827 4.9827 4.9827 90.00 90.00 90.00
Space group Pm-3m (No. 221)
Unique sites:
Na1 0.0000 0.0000 0.5000 (multiplicity 3)
Sb1 0.5000 0.5000 0.5000 (multiplicity 1)
C1 0.0000 0.0000 0.0000 (multiplicity 1)

Values from the calculation:
E_tot   -13.48 eV for the cell shown

3.
An optimized crystal structure of NaSbC2, computed with PBE.

Lattice parameters (Å, degrees): 5.8819 5.8819 8.7210 90.00 90.00 90.00
Space group I-42d (No. 122)
Unique sites:
Na1 0.0000 0.0000 0.0000 (multiplicity 4)
Sb1 0.0000 0.0000 0.5000 (multiplicity 4)
C1 0.1912 0.2500 0.6250 (multiplicity 8)

Values from the calculation:
E_tot   -70.51 eV for the cell shown

4.
An optimized crystal structure of NaSb3C, computed with PBE.

Lattice parameters (Å, degrees): 5.3528 5.3528 5.3528 90.00 90.00 90.00
Space group Pm-3m (No. 221)
Unique sites:
Na1 0.0000 0.0000 0.0000 (multiplicity 1)
Sb1 0.0000 0.0000 0.5000 (multiplicity 3)
C1 0.5000 0.5000 0.5000 (multiplicity 1)

Values from the calculation:
E_tot   -12.35 eV for the cell shown
ΔE to the lowest computed polymorph   1339 meV per atom

5.
An optimized crystal structure of Na2TaSbC, computed with PBE.

Lattice parameters (Å, degrees): 6.2004 6.2004 3.8654 90.00 90.00 90.00
Space group P4/mmm (No. 123)
Unique sites:
Na1 0.0000 0.5000 0.0000 (multiplicity 2)
Ta1 0.0000 0.0000 0.0000 (multiplicity 1)
Sb1 0.5000 0.5000 0.5000 (multiplicity 1)
C1 0.0000 0.0000 0.5000 (multiplicity 1)

Values from the calculation:
E_tot   -21.53 eV for the cell shown

6.
An optimized crystal structure of NaSb2TeC, computed with PBE.

Lattice parameters (Å, degrees): 4.7387 4.7387 5.4114 90.00 90.00 90.00
Space group P4/mmm (No. 123)
Unique sites:
Na1 0.0000 0.0000 0.0000 (multiplicity 1)
Sb1 0.0000 0.5000 0.5000 (multiplicity 2)
Te1 0.5000 0.5000 0.0000 (multiplicity 1)
C1 0.5000 0.5000 0.5000 (multiplicity 1)

Values from the calculation:
E_tot   -18.32 eV for the cell shown
ΔE to the lowest computed polymorph   0 meV per atom

- The lowest E_tot belongs to which entry?
  NaSbC2